# 1
Material: BaTl2Hg
Method: DFT, PBEsol
State: relaxed

Geometry as extended XYZ:
```
4
Lattice="-3.792 -3.087 -0.867 3.057 1.277 -3.698 2.697 -4.447 4.038" Properties=species:S:1:pos:R:3 pbc="T T T"
Tl 1.001 -5.402 0.636
Tl 0.961 -0.854 -1.163
Hg -1.896 -1.543 -0.433
Ba 1.349 -2.224 2.019
```

SG: C2/m (12)
E_tot, eV/cell: -9.3
Crystal system: monoclinic
Energy relative to the lowest polymorph listed for this composition, eV per atom: 0.038

---

# 2
Material: YCrGa2Ag
Method: DFT, PBEsol
State: relaxed

Geometry as extended XYZ:
```
5
Lattice="4.551 0.000 0.000 0.000 4.551 0.000 0.000 0.000 4.808" Properties=species:S:1:pos:R:3 pbc="T T T"
Y 2.275 2.275 2.404
Cr 0.000 0.000 0.000
Ga 0.000 2.275 0.000
Ga 2.275 0.000 0.000
Ag 0.000 0.000 2.404
```

SG: P4/mmm (123)
E_tot, eV/cell: -26.3
Crystal system: tetragonal